# Rb2CdTe3 (PBE, relaxed)
# - Space-group type: No. 62
# - E_form (uncorrected): -0.69 eV/atom
# - Calculated total energy: -2.738 eV/atom
data_Rb2CdTe3
_chemical_formula_sum 'Rb8 Cd4 Te12'
_cell_length_a 4.967
_cell_length_b 7.974
_cell_length_c 25.812
_cell_angle_alpha 90.00
_cell_angle_beta 90.00
_cell_angle_gamma 90.00
_space_group_name_H-M_alt 'P 1'
_space_group_IT_number 1
loop_
_space_group_symop_operation_xyz
'x,y,z'
loop_
_atom_site_label
_atom_site_type_symbol
_atom_site_fract_x
_atom_site_fract_y
_atom_site_fract_z
_atom_site_occupancy
Rb1 Rb 0.750 0.248 0.225 1
Rb2 Rb 0.750 0.748 0.275 1
Rb3 Rb 0.250 0.158 0.924 1
Te1 Te 0.750 0.088 0.823 1
Te2 Te 0.250 0.713 0.970 1
Rb4 Rb 0.250 0.252 0.725 1
Te3 Te 0.750 0.787 0.470 1
Te4 Te 0.250 0.213 0.530 1
Te5 Te 0.750 0.934 0.662 1
Te6 Te 0.250 0.912 0.177 1
Te7 Te 0.250 0.066 0.338 1
Te8 Te 0.750 0.588 0.677 1
Rb5 Rb 0.750 0.342 0.424 1
Rb6 Rb 0.250 0.658 0.576 1
Cd1 Cd 0.750 0.031 0.555 1
Te9 Te 0.250 0.412 0.323 1
Te10 Te 0.250 0.566 0.162 1
Cd2 Cd 0.250 0.969 0.445 1
Rb7 Rb 0.750 0.842 0.076 1
Cd3 Cd 0.250 0.469 0.055 1
Cd4 Cd 0.750 0.531 0.945 1
Rb8 Rb 0.250 0.752 0.775 1
Te11 Te 0.750 0.287 0.030 1
Te12 Te 0.750 0.434 0.838 1

# Rb3Cd2Te4 (PBE, relaxed)
# - Space-group type: No. 12
# - Energy above the lowest structure with this stoichiometry: 0.019 eV per atom
# - E_form (uncorrected): -0.71 eV/atom
# - Calculated total energy: -2.634 eV/atom
data_Rb3Cd2Te4
_chemical_formula_sum 'Rb3 Cd2 Te4'
_cell_length_a 4.603
_cell_length_b 8.436
_cell_length_c 10.922
_cell_angle_alpha 117.44
_cell_angle_beta 90.00
_cell_angle_gamma 105.83
_space_group_name_H-M_alt 'P 1'
_space_group_IT_number 1
loop_
_space_group_symop_operation_xyz
'x,y,z'
loop_
_atom_site_label
_atom_site_type_symbol
_atom_site_fract_x
_atom_site_fract_y
_atom_site_fract_z
_atom_site_occupancy
Te1 Te 0.889 0.778 0.590 1
Cd1 Cd 0.693 0.386 0.344 1
Te2 Te 0.300 0.600 0.908 1
Rb1 Rb 0.000 0.000 0.000 1
Te3 Te 0.111 0.222 0.410 1
Te4 Te 0.700 0.400 0.092 1
Cd2 Cd 0.307 0.614 0.656 1
Rb2 Rb 0.608 0.216 0.705 1
Rb3 Rb 0.392 0.784 0.295 1

# Rb2CdTe2 (PBE, relaxed)
# - Space-group type: No. 127
# - E_form (uncorrected): -0.61 eV/atom
# - Calculated total energy: -2.440 eV/atom
data_Rb2CdTe2
_chemical_formula_sum 'Rb4 Cd2 Te4'
_cell_length_a 8.502
_cell_length_b 8.502
_cell_length_c 5.492
_cell_angle_alpha 90.00
_cell_angle_beta 90.00
_cell_angle_gamma 90.00
_space_group_name_H-M_alt 'P 1'
_space_group_IT_number 1
loop_
_space_group_symop_operation_xyz
'x,y,z'
loop_
_atom_site_label
_atom_site_type_symbol
_atom_site_fract_x
_atom_site_fract_y
_atom_site_fract_z
_atom_site_occupancy
Rb1 Rb 0.359 0.141 0.500 1
Te1 Te 0.676 0.176 0.000 1
Rb2 Rb 0.141 0.641 0.500 1
Rb3 Rb 0.641 0.859 0.500 1
Cd1 Cd 0.500 0.500 0.000 1
Rb4 Rb 0.859 0.359 0.500 1
Te2 Te 0.324 0.824 0.000 1
Cd2 Cd 0.000 0.000 0.000 1
Te3 Te 0.176 0.324 0.000 1
Te4 Te 0.824 0.676 0.000 1